NdMo2O6 after structural relaxation, computed with PBE+U.

## Properties
The uncorrected energy comes out at -67.55 eV/cell. The value obtained for the density of states at the Fermi level is 1.822 states/eV/f.u.

abc: 5.369 5.369 5.039
angles: 90.00 90.00 120.00
Element x y z (fractional)
Nd 0.000 0.000 0.000
Mo 0.333 0.667 0.500
Mo 0.667 0.333 0.500
O 0.000 0.365 0.718
O 0.000 0.635 0.282
O 0.365 0.000 0.718
O 0.365 0.365 0.282
O 0.635 0.000 0.282
O 0.635 0.635 0.718